Record 1
The following is a DFT calculation (PBE) of crystalline K2NaCuBr4 at its relaxed geometry.

Structure (POSCAR):
```
K2NaCuBr4
1.0
8.9053 0.6101 -0.0738
0.6039 8.9057 -0.0739
-4.6710 -4.6743 6.8220
K Na Cu Br
4 2 2 8
direct
0.5000 0.0000 0.0000
0.5000 0.0000 0.5000
0.0000 0.0000 0.5000
0.5000 0.5000 0.0000
0.0000 0.5000 0.0000
0.0000 0.5000 0.5000
0.5000 0.5000 0.5000
0.0000 0.0000 0.0000
0.1912 0.7952 0.9934
0.7048 0.3088 0.5066
0.2952 0.6911 0.4934
0.8089 0.2048 0.0066
0.7660 0.7365 0.0262
0.7635 0.7340 0.4738
0.2365 0.2660 0.5262
0.2340 0.2635 0.9738
```

Computed properties:
crystal system	monoclinic
electronic total energy	-3.039	eV/atom
uncorrected formation energy	-1251	meV per atom
space group	C2/c, No. 15

---

Record 2
The following is a DFT calculation (PBE) of crystalline ScTc2TeO at its relaxed geometry.

Structure (POSCAR):
```
ScTc2TeO
1.0
-4.5783 -1.3321 -0.5648
1.4997 -3.6889 -3.4562
0.4780 -3.1617 3.5819
Sc Te Tc O
1 1 2 1
direct
0.0000 0.0000 0.0000
0.0000 0.5000 0.0000
0.0000 0.0000 0.5000
0.5000 0.0000 0.0000
0.5000 0.5000 0.5000
```

Computed properties:
crystal system	tetragonal
electronic total energy	-5.183	eV/atom
uncorrected formation energy	1850	meV per atom
space group	P4/mmm, No. 123

---

Record 3
The following is a DFT calculation (PBE) of crystalline NaNbO2 at its relaxed geometry.

Structure (POSCAR):
```
NaNbO2
1.0
1.7583 0.0000 6.9686
-0.8791 1.5227 6.9686
-0.8791 -1.5227 6.9686
Na Nb O
1 1 2
direct
0.0000 0.0000 0.0000
0.5000 0.5000 0.5000
0.8932 0.8932 0.8932
0.1068 0.1068 0.1068
```

Computed properties:
crystal system	trigonal
electronic total energy	-7.063	eV/atom
uncorrected formation energy	-1737	meV per atom
space group	R-3m, No. 166

---

Record 4
The following is a DFT calculation (PBE) of crystalline TmTcB at its relaxed geometry.

Structure (POSCAR):
```
TmTcB
1.0
-1.4814 2.7458 -0.0655
-4.1325 -2.2636 -1.4264
1.0576 -1.0364 6.9764
Tm Tc B
2 2 2
direct
0.1622 0.6609 0.3245
0.8378 0.3391 0.6755
0.6026 0.1011 0.2052
0.3974 0.8989 0.7948
0.9997 0.8209 0.9994
0.0003 0.1791 0.0006
```

Computed properties:
crystal system	monoclinic
electronic total energy	-7.130	eV/atom
E above lowest polymorph	26.3	kJ per mole of atoms
formation enthalpy at 0 K	0.04	eV/atom
space group	C2/m, No. 12

---

Record 5
The following is a DFT calculation (PBE) of crystalline LaTb4Mg at its relaxed geometry.

Structure (POSCAR):
```
LaTb4Mg
1.0
5.5149 0.0000 0.0000
0.0000 11.2747 0.0000
-2.7575 0.0000 6.1041
La Tb Mg
2 8 2
direct
0.8208 0.9196 0.6415
0.1792 0.4196 0.3585
0.9791 0.2057 0.9581
0.0209 0.7057 0.0419
0.5062 0.9398 0.0124
0.4938 0.4398 0.9876
0.8308 0.4803 0.6616
0.1692 0.9803 0.3384
0.6794 0.2003 0.3588
0.3206 0.7003 0.6412
0.6516 0.6877 0.3033
0.3484 0.1877 0.6967
```

Computed properties:
crystal system	orthorhombic
electronic total energy	-4.147	eV/atom
E above lowest polymorph	3.5	kJ per mole of atoms
formation enthalpy at 0 K	0.03	eV/atom
space group	Cmc2_1, No. 36

---

Record 6
The following is a DFT calculation (PBE) of crystalline Rb3CuAu2I8 at its relaxed geometry.

Structure (POSCAR):
```
Rb3CuAu2I8
1.0
8.0068 0.0000 0.0000
-4.0034 6.9341 0.0000
0.0000 0.0000 10.7521
Rb Cu Au I
3 1 2 8
direct
0.3333 0.6667 0.6139
0.6667 0.3333 0.3861
0.0000 0.0000 0.0000
0.0000 0.0000 0.5000
0.3333 0.6667 0.1975
0.6667 0.3333 0.8025
0.3333 0.6667 0.9525
0.6667 0.3333 0.0475
0.1598 0.8402 0.3391
0.8402 0.1598 0.6609
0.1598 0.3195 0.3391
0.8402 0.6805 0.6609
0.6805 0.8402 0.3391
0.3195 0.1598 0.6609
```

Computed properties:
crystal system	trigonal
electronic total energy	-2.461	eV/atom
uncorrected formation energy	-607	meV per atom
space group	P-3m1, No. 164

---

Record 7
The following is a DFT calculation (PBE) of crystalline MgPIO2 at its relaxed geometry.

Structure (POSCAR):
```
MgPIO2
1.0
-0.6374 -1.1919 -3.7876
1.7125 -3.5435 0.8269
-4.8237 -1.9952 1.4396
I P Mg O
1 1 1 2
direct
0.0000 0.0000 0.0000
0.0000 0.0000 0.5000
0.5000 0.5000 0.5000
0.0000 0.5000 0.0000
0.5000 0.0000 0.0000
```

Computed properties:
crystal system	tetragonal
electronic total energy	-3.738	eV/atom
E above lowest polymorph	29.0	kJ per mole of atoms
uncorrected formation energy	-44	meV per atom
space group	P4/mmm, No. 123

---

Record 8
The following is a DFT calculation (PBE) of crystalline Pa3Ni2P4S2 at its relaxed geometry.

Structure (POSCAR):
```
Pa3Ni2P4S2
1.0
4.0716 0.0000 0.0000
0.0000 4.0716 0.0000
-2.0358 -2.0358 11.7223
Pa Ni P S
3 2 4 2
direct
0.0000 0.0000 0.0000
0.1735 0.1735 0.3471
0.8265 0.8265 0.6529
0.4492 0.4492 0.8984
0.5508 0.5508 0.1016
0.4106 0.9106 0.8212
0.9106 0.4106 0.8212
0.0894 0.5894 0.1788
0.5894 0.0894 0.1788
0.2930 0.2930 0.5860
0.7070 0.7070 0.4140
```

Computed properties:
crystal system	tetragonal
electronic total energy	-7.433	eV/atom
uncorrected formation energy	-1075	meV per atom
space group	I4/mmm, No. 139

---

Record 9
The following is a DFT calculation (PBE) of crystalline CeHfBe17 at its relaxed geometry.

Structure (POSCAR):
```
CeHfBe17
1.0
5.7260 0.0202 0.6982
0.6206 5.6923 0.6982
0.0225 0.0202 5.7683
Ce Hf Be
1 1 17
direct
0.6606 0.6606 0.6606
0.3366 0.3366 0.3366
0.2807 0.0019 0.7173
0.7173 0.2807 0.0019
0.0019 0.7173 0.2807
0.2807 0.7173 0.0019
0.0019 0.2807 0.7173
0.7173 0.0019 0.2807
0.3374 0.8439 0.3374
0.3374 0.3374 0.8439
0.8439 0.3374 0.3374
0.6579 0.1584 0.6579
0.6579 0.6579 0.1584
0.1584 0.6579 0.6579
0.0036 0.4986 0.0036
0.0036 0.0036 0.4986
0.4986 0.0036 0.0036
0.9067 0.9067 0.9067
0.0974 0.0974 0.0974
```

Computed properties:
crystal system	trigonal
electronic total energy	-4.308	eV/atom
formation enthalpy at 0 K	-0.14	eV/atom
space group	R3m, No. 160

---

Record 10
The following is a DFT calculation (PBE) of crystalline TiZnI3 at its relaxed geometry.

Structure (POSCAR):
```
TiZnI3
1.0
-0.5657 2.0552 -5.1059
-5.0280 -2.2809 -0.3610
-2.2389 4.6030 2.1008
I Zn Ti
3 1 1
direct
0.0000 0.5000 0.0000
0.0000 0.0000 0.5000
0.5000 0.0000 0.0000
0.0000 0.0000 0.0000
0.5000 0.5000 0.5000
```

Computed properties:
crystal system	cubic
electronic total energy	-2.463	eV/atom
E above lowest polymorph	51.5	kJ per mole of atoms
uncorrected formation energy	301	meV per atom
space group	Pm-3m, No. 221

---

Record 11
The following is a DFT calculation (PBE) of crystalline Cr2CuSe4 at its relaxed geometry.

Structure (POSCAR):
```
Cr2CuSe4
1.0
7.3570 0.0000 0.0000
3.6785 6.3713 0.0000
3.6785 2.1238 6.0070
Cr Cu Se
4 2 8
direct
0.5000 0.5000 0.5000
0.0000 0.0000 0.5000
0.5000 0.0000 0.5000
0.5000 0.0000 0.0000
0.1250 0.6250 0.1250
0.8750 0.3750 0.8750
0.2577 0.2270 0.2577
0.7270 0.7577 0.2577
0.2577 0.7577 0.2577
0.2577 0.7577 0.7270
0.2730 0.2423 0.7423
0.7423 0.7730 0.7423
0.7423 0.2423 0.7423
0.7423 0.2423 0.2730
```

Computed properties:
crystal system	cubic
electronic total energy	-5.812	eV/atom
uncorrected formation energy	-486	meV per atom
space group	Fd-3m, No. 227

---

Record 12
The following is a DFT calculation (PBE) of crystalline LiCu2PbO4 at its relaxed geometry.

Structure (POSCAR):
```
LiCu2PbO4
1.0
-4.4147 -0.3491 -2.2564
-0.8833 -2.1734 4.3817
1.6181 4.6801 0.4254
Li Cu Pb O
1 2 1 4
direct
0.0000 0.0000 0.0000
0.7500 0.2500 0.5000
0.2500 0.7500 0.5000
0.5000 0.5000 0.0000
0.5691 0.5691 0.5945
0.0254 0.4309 0.0000
0.4309 0.0254 0.0000
0.9746 0.9746 0.4055
```

Computed properties:
crystal system	tetragonal
electronic total energy	-5.054	eV/atom
uncorrected formation energy	-848	meV per atom
space group	I-42m, No. 121